[1]
VASP calculation (PBE) on a relaxed structure of CsIr3N.

The structure in CIF format:
```
data_CsIr3N
_chemical_formula_sum 'Cs1 Ir3 N1'
_cell_length_a 5.083
_cell_length_b 5.083
_cell_length_c 5.083
_cell_angle_alpha 90.00
_cell_angle_beta 90.00
_cell_angle_gamma 90.00
_space_group_name_H-M_alt 'P m -3 m'
_space_group_IT_number 221
_space_group_name_Hall '-P 4 2 3'
loop_
_atom_site_label
_atom_site_fract_x
_atom_site_fract_y
_atom_site_fract_z
Cs1 0.000 0.000 0.000
Ir1 0.000 0.000 0.500
N1 0.500 0.500 0.500
```

Values from the calculation:
- ΔE_f (raw): 4.231 eV/atom

---

[2]
VASP calculation (PBE) on a relaxed structure of NaFe2I.

The structure in CIF format:
```
data_NaFe2I
_chemical_formula_sum 'Na4 Fe8 I4'
_cell_length_a 6.160
_cell_length_b 6.160
_cell_length_c 6.160
_cell_angle_alpha 90.00
_cell_angle_beta 90.00
_cell_angle_gamma 90.00
_space_group_name_H-M_alt 'F m -3 m'
_space_group_IT_number 225
_space_group_name_Hall '-F 4 2 3'
loop_
_atom_site_label
_atom_site_fract_x
_atom_site_fract_y
_atom_site_fract_z
Na1 0.000 0.000 0.000
Fe1 0.250 0.250 0.250
I1 0.000 0.000 0.500
```

Values from the calculation:
- ΔE_f (raw): 1.144 eV/atom

---

[3]
VASP calculation (PBE) on a relaxed structure of TbDyIr.

The structure in CIF format:
```
data_TbDyIr
_chemical_formula_sum 'Tb2 Dy2 Ir2'
_cell_length_a 3.480
_cell_length_b 3.480
_cell_length_c 12.773
_cell_angle_alpha 90.00
_cell_angle_beta 90.00
_cell_angle_gamma 90.00
_space_group_name_H-M_alt 'I 4 m m'
_space_group_IT_number 107
_space_group_name_Hall 'I 4 -2'
loop_
_atom_site_label
_atom_site_fract_x
_atom_site_fract_y
_atom_site_fract_z
Tb1 0.000 0.000 0.000
Dy1 0.000 0.000 0.254
Ir1 0.000 0.000 0.628
```

---

[4]
VASP calculation (PBE) on a relaxed structure of Ce2Ni2Pt.

The structure in CIF format:
```
data_Ce2Ni2Pt
_chemical_formula_sum 'Ce4 Ni4 Pt2'
_cell_length_a 7.128
_cell_length_b 7.128
_cell_length_c 3.688
_cell_angle_alpha 90.00
_cell_angle_beta 90.00
_cell_angle_gamma 90.00
_space_group_name_H-M_alt 'P 4/m b m'
_space_group_IT_number 127
_space_group_name_Hall '-P 4 2ab'
loop_
_atom_site_label
_atom_site_fract_x
_atom_site_fract_y
_atom_site_fract_z
Ce1 0.181 0.319 0.000
Ni1 0.125 0.625 0.500
Pt1 0.000 0.000 0.500
```

---

Density
In order: 9.15; 7.43; 11.03; 10.50
Unit: Mg/m³
E_tot
In order: -2.922; -3.804; -6.594; -6.529
Unit: eV/atom